Below is crystalline UNi2HO6 at its relaxed geometry, with properties calculated at the PBE with a Hubbard U level.

a b c (Å): 5.1864 5.2708 5.6513
angles (deg): 92.03 117.01 117.59
Closest atoms and distances in Å follow each position.
Space group P1 (No. 1)
Symmetry-distinct sites (fractional):
U1 0.0000 0.0000 0.0000  5 O 2.00-2.14
Ni1 0.5892 0.7902 0.3884  6 O 1.98-2.20
Ni2 0.6094 0.3041 0.9281  6 O 1.92-2.12
H1 0.2691 0.5313 0.6436  1 O 0.98
O1 0.1064 0.6996 0.1685  2 Ni 2.02-2.12, 1 U 2.04
O2 0.1105 0.9270 0.7180  1 U 2.00, 2 Ni 2.08-2.20
O3 0.4772 0.4184 0.1605  2 Ni 1.92-1.98, 1 U 2.14
O4 0.4793 0.5507 0.6715  1 H 0.98
O5 0.7457 0.1592 0.7142  1 Ni 1.94, 1 U 2.06
O6 0.7733 0.0670 0.1857  1 U 2.02, 2 Ni 2.04-2.10

Values from the calculation:
- uncorrected energy (eV per cell) = -66.153
- DOS(E_F) (states/eV/f.u.) = 3.21